A plane-wave DFT calculation with PBE+U was carried out for crystalline VPO7 at its relaxed geometry.

Its energy above the most stable polymorph in this dataset is 0 meV per atom. The crystal system is monoclinic. The size of the total moment is 2.0 μB per formula unit. The value obtained for the density is 1.98 Mg/m³.

The structure in CIF format:
```
data_VPO7
_chemical_formula_sum 'V4 P4 O28'
_space_group_name_H-M_alt 'P 1'
_space_group_IT_number 1
_space_group_name_Hall 'P 1'
_cell_length_a 7.844
_cell_length_b 8.583
_cell_length_c 10.147
_cell_angle_alpha 90.00
_cell_angle_beta 107.88
_cell_angle_gamma 90.00
loop_
_atom_site_label
_atom_site_type_symbol
_atom_site_fract_x
_atom_site_fract_y
_atom_site_fract_z
V1 V 0.011 0.180 0.337
V2 V 0.011 0.320 0.837
V3 V 0.989 0.680 0.163
V4 V 0.989 0.820 0.663
P1 P 0.225 0.649 0.942
P2 P 0.225 0.851 0.442
P3 P 0.775 0.149 0.558
P4 P 0.775 0.351 0.058
O1 O 0.110 0.719 0.343
O2 O 0.110 0.781 0.843
O3 O 0.124 0.169 0.903
O4 O 0.124 0.331 0.403
O5 O 0.146 0.641 0.069
O6 O 0.146 0.859 0.569
O7 O 0.153 0.008 0.361
O8 O 0.153 0.492 0.861
O9 O 0.362 0.195 0.200
O10 O 0.362 0.305 0.700
O11 O 0.418 0.675 0.982
O12 O 0.418 0.825 0.482
O13 O 0.428 0.069 0.182
O14 O 0.428 0.431 0.682
O15 O 0.572 0.569 0.318
O16 O 0.572 0.931 0.818
O17 O 0.582 0.175 0.518
O18 O 0.582 0.325 0.018
O19 O 0.638 0.695 0.300
O20 O 0.638 0.805 0.800
O21 O 0.847 0.508 0.139
O22 O 0.847 0.992 0.639
O23 O 0.854 0.141 0.431
O24 O 0.854 0.359 0.931
O25 O 0.876 0.669 0.597
O26 O 0.876 0.831 0.097
O27 O 0.890 0.219 0.157
O28 O 0.890 0.281 0.657
```